No. 1
CaTe2Mo | SCAN | single point on PBEsol structure

a = 3.5403 Å, b = 3.8246 Å, c = 7.5322 Å
α = 104.71°, β = 103.59°, γ = 90.00°
Positions (direct):
Te  0.7174  0.2174  0.4348
Te  0.9391  0.9391  0.8782
Ca  0.5493  0.5493  0.0987
Mo  0.2941  0.7941  0.5883

Output
- E_tot: -30.1571 eV/atom
- Energy above the most stable polymorph in this dataset: 141.9 meV/atom
- SG: Imm2, No. 44
- Formation energy without anion corrections: -0.3944 eV/atom


No. 2
LiYN2O | SCAN | single point on PBEsol structure

a = 4.3001 Å, b = 4.5541 Å, c = 4.5541 Å
α = 90.00°, β = 90.00°, γ = 90.00°
Last column: magnetic moment on the atom in μB.
Positions (direct):
N  0.0000  0.5000  0.0000  1.25
O  0.5000  0.0000  0.0000  0.37
N  0.0000  0.0000  0.5000  1.25
Li  0.5000  0.5000  0.5000  0.00
Y  0.0000  0.0000  0.0000  0.01

Output
- E_tot: -11.1335 eV/atom
- SG: P4/mmm, No. 123
- Formation energy without anion corrections: -0.1242 eV/atom


No. 3
La3AgSnSe7 | SCAN | single point on PBEsol structure

a = 6.1775 Å, b = 10.7369 Å, c = 10.7369 Å
α = 120.00°, β = 90.00°, γ = 90.00°
Positions (direct):
Se  0.2077  0.3333  0.6667
Sn  0.3035  0.6667  0.3333
Se  0.6326  0.4873  0.9147
Se  0.6326  0.4273  0.5127
La  0.3850  0.2229  0.8662
Se  0.1326  0.9147  0.4273
Se  0.4016  0.2700  0.1669
Se  0.9016  0.1669  0.8970
Se  0.4016  0.8970  0.7300
Se  0.4016  0.8331  0.1030
Se  0.7077  0.6667  0.3333
Se  0.6326  0.0853  0.5727
Sn  0.8035  0.3333  0.6667
La  0.3850  0.6433  0.7771
La  0.3850  0.1338  0.3567
Se  0.9016  0.7300  0.8331
Se  0.1326  0.5727  0.4873
La  0.8850  0.3567  0.2229
Ag  0.9327  0.0000  0.0000
La  0.8850  0.8662  0.6433
Se  0.9016  0.1030  0.2700
La  0.8850  0.7771  0.1338
Se  0.1326  0.5127  0.0853
Ag  0.4327  0.0000  0.0000

Output
- E_tot: -29.6847 eV/atom
- SG: P6_3, No. 173
- Formation energy without anion corrections: -1.5887 eV/atom


No. 4
SrLaI5 | SCAN | single point on PBEsol structure

a = 4.5085 Å, b = 8.3818 Å, c = 14.8291 Å
α = 91.87°, β = 90.00°, γ = 90.00°
Positions (direct):
I  0.2500  0.3308  0.8741
I  0.7500  0.2930  0.5157
I  0.7500  0.6692  0.1259
I  0.7500  0.9608  0.3168
I  0.7500  0.1612  0.0599
I  0.2500  0.7070  0.4843
I  0.2500  0.3232  0.2585
La  0.2500  0.9535  0.1593
La  0.7500  0.0465  0.8407
I  0.7500  0.6768  0.7415
Sr  0.2500  0.4454  0.6472
I  0.2500  0.8388  0.9401
I  0.2500  0.0392  0.6832
Sr  0.7500  0.5546  0.3528

Output
- E_tot: -37.3024 eV/atom
- Energy above the most stable polymorph in this dataset: 0.0 meV/atom
- SG: P2_1/m, No. 11
- Formation energy without anion corrections: -1.7184 eV/atom